Entry a
Ho8Er6Tm | PBE | optimized geometry

Computed properties:
SG = P-3, No. 147

a b c (Å): 9.261 9.261 6.458
angles (deg): 90.00 90.00 120.00
Element x y z (fractional)
Ho 0.022 0.689 0.102
Ho 0.311 0.333 0.102
Ho 0.333 0.022 0.898
Ho 0.333 0.667 0.831
Ho 0.667 0.333 0.169
Ho 0.667 0.978 0.102
Ho 0.689 0.667 0.898
Ho 0.978 0.311 0.898
Er 0.091 0.411 0.405
Er 0.320 0.909 0.405
Er 0.411 0.320 0.595
Er 0.589 0.680 0.405
Er 0.680 0.091 0.595
Er 0.909 0.589 0.595
Tm 0.000 0.000 0.500

Entry b
Ho8Er6Tm | PBE | optimized geometry

Computed properties:
SG = R-3, No. 148

a b c (Å): 8.516 8.516 8.516
angles (deg): 63.15 63.15 63.15
Element x y z (fractional)
Ho 0.077 0.077 0.077
Ho 0.221 0.610 0.244
Ho 0.244 0.221 0.610
Ho 0.390 0.756 0.779
Ho 0.610 0.244 0.221
Ho 0.756 0.779 0.390
Ho 0.779 0.390 0.756
Ho 0.923 0.923 0.923
Er 0.041 0.609 0.728
Er 0.272 0.959 0.391
Er 0.391 0.272 0.959
Er 0.609 0.728 0.041
Er 0.728 0.041 0.609
Er 0.959 0.391 0.272
Tm 0.500 0.500 0.500

Most stable to least stable: entry b, entry a